! NaYCoBi GGA-PBE relaxed; values from VASP
&SYSTEM
  ibrav = 0, nat = 16, ntyp = 4
/
ATOMIC_SPECIES
Na 22.99 Na.upf
Y 88.91 Y.upf
Co 58.93 Co.upf
Bi 208.98 Bi.upf
ATOMIC_POSITIONS crystal
Na 0.0000 0.0000 0.0000
Na 0.0000 0.5000 0.5000
Na 0.5000 0.0000 0.5000
Na 0.5000 0.5000 0.0000
Y 0.0000 0.0000 0.5000
Y 0.0000 0.5000 0.0000
Y 0.5000 0.0000 0.0000
Y 0.5000 0.5000 0.5000
Co 0.2500 0.2500 0.7500
Co 0.2500 0.7500 0.2500
Co 0.7500 0.2500 0.2500
Co 0.7500 0.7500 0.7500
Bi 0.2500 0.2500 0.2500
Bi 0.2500 0.7500 0.7500
Bi 0.7500 0.2500 0.7500
Bi 0.7500 0.7500 0.2500
CELL_PARAMETERS angstrom
7.1396 0.0000 0.0000
0.0000 7.1396 0.0000
0.0000 0.0000 7.1396
! Total DFT energy (no corrections): -74.870 eV per cell
! Polymorph energy (0 for the lowest one): 0.408 eV/f.u.

***

! SrTmTe3Au GGA-PBE relaxed; values from VASP
&SYSTEM
  ibrav = 0, nat = 24, ntyp = 4
/
ATOMIC_SPECIES
Sr 87.62 Sr.upf
Tm 168.93 Tm.upf
Te 127.60 Te.upf
Au 196.97 Au.upf
ATOMIC_POSITIONS crystal
Sr 0.2242 0.2500 0.0153
Sr 0.2758 0.7500 0.5153
Sr 0.7242 0.2500 0.4847
Sr 0.7758 0.7500 0.9847
Tm 0.0300 0.7500 0.7453
Tm 0.4700 0.2500 0.2453
Tm 0.5300 0.7500 0.7547
Tm 0.9700 0.2500 0.2547
Te 0.0365 0.7500 0.1154
Te 0.0676 0.2500 0.5993
Te 0.2237 0.2500 0.3388
Te 0.2763 0.7500 0.8388
Te 0.4324 0.7500 0.0993
Te 0.4635 0.2500 0.6153
Te 0.5365 0.7500 0.3846
Te 0.5676 0.2500 0.9007
Te 0.7237 0.2500 0.1612
Te 0.7763 0.7500 0.6612
Te 0.9324 0.7500 0.4007
Te 0.9635 0.2500 0.8846
Au 0.2501 0.2500 0.7191
Au 0.2499 0.7500 0.2191
Au 0.7501 0.2500 0.7809
Au 0.7499 0.7500 0.2809
CELL_PARAMETERS angstrom
11.4161 0.0000 0.0000
0.0000 4.3583 0.0000
0.0000 0.0000 14.6459
! Total DFT energy (no corrections): -103.334 eV per cell

***

! MgTaAlCo GGA-PBE relaxed; values from VASP
&SYSTEM
  ibrav = 0, nat = 16, ntyp = 4
/
ATOMIC_SPECIES
Mg 24.30 Mg.upf
Ta 180.95 Ta.upf
Al 26.98 Al.upf
Co 58.93 Co.upf
ATOMIC_POSITIONS crystal
Mg 0.0000 0.0000 0.0000
Mg 0.0000 0.5000 0.5000
Mg 0.5000 0.0000 0.5000
Mg 0.5000 0.5000 0.0000
Ta 0.2500 0.2500 0.7500
Ta 0.2500 0.7500 0.2500
Ta 0.7500 0.2500 0.2500
Ta 0.7500 0.7500 0.7500
Al 0.2500 0.2500 0.2500
Al 0.2500 0.7500 0.7500
Al 0.7500 0.2500 0.7500
Al 0.7500 0.7500 0.2500
Co 0.0000 0.0000 0.5000
Co 0.0000 0.5000 0.0000
Co 0.5000 0.0000 0.0000
Co 0.5000 0.5000 0.5000
CELL_PARAMETERS angstrom
6.1973 0.0000 0.0000
0.0000 6.1973 0.0000
0.0000 0.0000 6.1973
! Total DFT energy (no corrections): -96.353 eV per cell
! Polymorph energy (0 for the lowest one): 0.000 eV/f.u.

***

! ErMgTa GGA-PBE relaxed; values from VASP
&SYSTEM
  ibrav = 0, nat = 12, ntyp = 3
/
ATOMIC_SPECIES
Er 167.26 Er.upf
Mg 24.30 Mg.upf
Ta 180.95 Ta.upf
ATOMIC_POSITIONS crystal
Er 0.0000 0.0000 0.0000
Er 0.0000 0.5000 0.5000
Er 0.5000 0.0000 0.5000
Er 0.5000 0.5000 0.0000
Mg 0.2500 0.2500 0.2500
Mg 0.2500 0.7500 0.7500
Mg 0.7500 0.2500 0.7500
Mg 0.7500 0.7500 0.2500
Ta 0.0000 0.0000 0.5000
Ta 0.0000 0.5000 0.0000
Ta 0.5000 0.0000 0.0000
Ta 0.5000 0.5000 0.5000
CELL_PARAMETERS angstrom
6.7254 0.0000 0.0000
0.0000 6.7254 0.0000
0.0000 0.0000 6.7254
! Total DFT energy (no corrections): -59.095 eV per cell
! Polymorph energy (0 for the lowest one): 0.000 eV/f.u.